#A
Sm2MgCo | PBE | relaxed

The space group is R-3m (No. 166, hexagonal axes) and the conventional cell measures 3.3015, 3.3015 and 32.3645 Å, with angles of 90.00, 90.00 and 120.00 degrees. The asymmetric unit holds Sm at (0.0000, 0.0000, 0.0771), Mg at (0.0000, 0.0000, 0.5000) and Co at (0.0000, 0.0000, 0.0000).

Its total magnetization is 3.1 μB per cell. For the density of states at the Fermi level, the calculation gives 1.21 states/eV/atom. Its mass density is 6.261 Mg/m³.

#B
Sm2MgCo | PBE | relaxed

The space group is C2/m (No. 12) and the conventional cell measures 13.521, 3.755 and 7.960 Å, with angles of 90.00, 94.85 and 90.00 degrees. The asymmetric unit holds Sm at (0.036, 0.000, 0.296), Sm at (0.231, 0.000, 0.681), Mg at (0.122, 0.500, 0.954) and Co at (0.096, 0.500, 0.573).

Its total magnetization is 0.0 μB per cell. For the density of states at the Fermi level, the calculation gives 0.64 states/eV/atom. Its mass density is 6.332 Mg/m³.

Verdict on stability: #A comes out at the bottom.

#A
SmTmMgCo | PBE | relaxed

The space group is F-43m (No. 216) and the conventional cell measures 7.127, 7.127 and 7.127 Å, with angles of 90.00, 90.00 and 90.00 degrees. The asymmetric unit holds Sm at (0.000, 0.000, 0.000), Tm at (0.000, 0.000, 0.500), Mg at (0.250, 0.250, 0.250) and Co at (0.250, 0.250, 0.750).

Its total magnetization is 1.3 μB per cell. For the density of states at the Fermi level, the calculation gives 0.63 states/eV/atom. Its mass density is 7.385 Mg/m³.

#B
SmTmMgCo | PBE | relaxed

The space group is P4mm (No. 99) and the conventional cell measures 3.408, 3.408 and 8.103 Å, with angles of 90.00, 90.00 and 90.00 degrees. The asymmetric unit holds Sm at (0.000, 0.000, 0.000), Tm at (0.000, 0.000, 0.598), Mg at (0.500, 0.500, 0.308) and Co at (0.500, 0.500, 0.787).

Its total magnetization is 0.8 μB per cell. For the density of states at the Fermi level, the calculation gives 0.88 states/eV/atom. Its mass density is 7.103 Mg/m³.

Verdict on stability: #A comes out at the bottom.